*a*
## PPd2F (GGA-PBE)

Data for a relaxed PPd2F crystal.

abc: 4.1960 4.1960 4.1960
angles: 60.00 60.00 60.00
Atoms (fractional coordinates):
Pd  0.2500  0.2500  0.2500
Pd  0.7500  0.7500  0.7500
F  0.0000  0.0000  0.0000
P  0.5000  0.5000  0.5000

## Properties
Magnetization in μB/cell: 0.00

---

*b*
## PPd2F (GGA-PBE)

Data for a relaxed PPd2F crystal.

abc: 6.0782 6.0782 5.4955
angles: 56.43 56.43 90.00
Atoms (fractional coordinates):
P  0.0000  0.0000  0.0000
P  0.7500  0.2500  0.5000
Pd  0.3750  0.3560  0.7500
Pd  0.8750  0.8940  0.7500
Pd  0.6440  0.1250  0.2500
Pd  0.1060  0.6250  0.2500
F  0.2500  0.7500  0.5000
F  0.5000  0.5000  0.0000

## Properties
Magnetization in μB/cell: 0.00

---

The winner here is *b*, beating the second structure by 15 meV/atom.

---

*a*
## Pm2PF (GGA-PBE)

Data for a relaxed Pm2PF crystal.

abc: 3.8783 3.8783 7.2068
angles: 74.39 74.39 60.00
Atoms (fractional coordinates):
Pm  0.0803  0.0803  0.7590
Pm  0.2566  0.2566  0.2302
F  0.4940  0.4940  0.5180
P  0.6691  0.6691  0.9928

## Properties
Magnetization in μB/cell: 0.00

---

*b*
## Pm2PF (GGA-PBE)

Data for a relaxed Pm2PF crystal.

abc: 3.5961 4.7659 4.7659
angles: 90.00 90.00 90.00
Atoms (fractional coordinates):
Pm  0.0000  0.0000  0.5000
Pm  0.0000  0.5000  0.0000
F  0.5000  0.5000  0.5000
P  0.5000  0.0000  0.0000

## Properties
Magnetization in μB/cell: 0.00

---

The winner here is *a*, beating the second structure by 284 meV/atom.

---

*a*
## P3PtF (GGA-PBE)

Data for a relaxed P3PtF crystal.

abc: 4.7189 4.7189 4.7189
angles: 90.00 90.00 90.00
Atoms (fractional coordinates):
P  0.0000  0.5000  0.0000
P  0.0000  0.0000  0.5000
P  0.5000  0.0000  0.0000
F  0.5000  0.5000  0.5000
Pt  0.0000  0.0000  0.0000

## Properties
Magnetization in μB/cell: 1.92

---

*b*
## P3PtF (GGA-PBE)

Data for a relaxed P3PtF crystal.

abc: 4.2762 4.2762 4.2762
angles: 90.00 90.00 90.00
Atoms (fractional coordinates):
P  0.0000  0.5000  0.0000
P  0.0000  0.0000  0.5000
P  0.5000  0.0000  0.0000
F  0.0000  0.0000  0.0000
Pt  0.5000  0.5000  0.5000

## Properties
Magnetization in μB/cell: 0.00

---

The winner here is *a*, beating the second structure by 86 meV/atom.